No. 1
A plane-wave DFT calculation with PBE-GGA was carried out for a geometry-optimized CsLi2Pt2 structure.

Lattice parameters (Å, degrees): 8.1459 8.1459 3.0633 90.00 90.00 90.00
Last column: nearest neighbours and their distance in Å.
Space group P4/mbm (No. 127)
Asymmetric unit:
Cs (0.0000, 0.0000, 0.0000) (multiplicity 2)  2 Cs 3.06, 4 Pt 3.23
Li (0.1482, 0.3518, 0.5000) (multiplicity 4)  4 Pt 2.70
Pt (0.1236, 0.6236, 0.0000) (multiplicity 4)  4 Li 2.70, 1 Pt 2.85

Output
- Formation energy from the elements: -70 meV/atom
- Electronic total energy: -34.23 eV/cell
- Excess energy over the best structure of this formula in the dataset: 32 meV per atom



No. 2
A plane-wave DFT calculation with PBE-GGA was carried out for a geometry-optimized Fe2RuPt structure.

Lattice parameters (Å, degrees): 5.4028 7.3907 2.6780 90.00 90.00 90.00
Last column: nearest neighbours and their distance in Å.
Space group Cmmm (No. 65)
Asymmetric unit:
Fe (0.2500, 0.2500, 0.0000) (multiplicity 4)  4 Ru 2.65, 4 Pt 2.65, 4 Fe 2.68-2.70
Ru (0.0000, 0.0000, 0.5000) (multiplicity 2)  8 Fe 2.65, 2 Ru 2.68, 2 Pt 2.70
Pt (0.0000, 0.5000, 0.5000) (multiplicity 2)  8 Fe 2.65, 2 Pt 2.68, 2 Ru 2.70

Output
- Formation energy from the elements: 17 meV/atom
- Electronic total energy: -64.35 eV/cell



No. 3
A plane-wave DFT calculation with PBE-GGA was carried out for a geometry-optimized SrNiI3 structure.

Lattice parameters (Å, degrees): 5.4146 5.4146 5.4146 90.00 90.00 90.00
Last column: nearest neighbours and their distance in Å.
Space group Pm-3m (No. 221)
Asymmetric unit:
Sr (0.0000, 0.0000, 0.0000) (multiplicity 1)  12 I 3.83
Ni (0.5000, 0.5000, 0.5000) (multiplicity 1)  6 I 2.71
I (0.0000, 0.5000, 0.5000) (multiplicity 3)  2 Ni 2.71

Output
- Energy relative to the elements, uncorrected: -3.485 eV per formula unit
- Electronic total energy: -15.60 eV/cell
- Excess energy over the best structure of this formula in the dataset: 0 meV per atom



Which value of electronic total energy does entry 2 give? -64.35 eV/cell



Which formula does entry 2 have? Fe2RuPt



electronic total energy of number 2 (Fe2RuPt)? -64.35 eV/cell



Which of these has the highest electronic total energy? SrNiI3